This record from Alexandria via LeMat-Bulk describes a relaxed structure of CaZrFe2. The functional is PBE.

abc: 3.419 3.419 6.755
angles: 90.00 90.00 90.00
Fractional coordinates of all 4 atoms:
1 Ca 0.000 0.000 0.000
2 Zr 0.000 0.000 0.500
3 Fe 0.500 0.500 0.319
4 Fe 0.500 0.500 0.681

Values from the calculation:
The calculation puts the total energy at -26.75 eV/cell. For the density of states at the Fermi level, the calculation gives 5.57 states/eV/cell. For the total moment, the calculation gives 3.32 μB per formula unit.

=====

This record from Alexandria via LeMat-Bulk describes a relaxed structure of Cs2NaI. The functional is PBE.

abc: 6.958 6.958 6.958
angles: 60.00 60.00 60.00
Fractional coordinates of all 4 atoms:
1 Cs 0.250 0.250 0.250
2 Cs 0.750 0.750 0.750
3 Na 0.000 0.000 0.000
4 I 0.500 0.500 0.500

Values from the calculation:
The calculation puts the energy above the lowest structure with this stoichiometry at 0.083 eV/atom. The calculation puts the total energy at -7.12 eV/cell. For the density of states at the Fermi level, the calculation gives 0.00 states/eV/cell. The uncorrected formation energy comes out at -0.636 eV/atom. For the total moment, the calculation gives 0.00 μB per formula unit.

=====

This record from Alexandria via LeMat-Bulk describes a relaxed structure of Ac3Pr12Ga5. The functional is PBE.

abc: 16.112 16.112 16.112
angles: 109.47 109.47 109.47
Fractional coordinates of all 80 atoms:
1 Ac 0.125 0.250 0.375
2 Ac 0.125 0.375 0.750
3 Ac 0.250 0.375 0.125
4 Ac 0.250 0.875 0.625
5 Ac 0.375 0.125 0.250
6 Ac 0.375 0.750 0.125
7 Ac 0.625 0.250 0.875
8 Ac 0.625 0.875 0.750
9 Ac 0.750 0.125 0.375
10 Ac 0.750 0.625 0.875
11 Ac 0.875 0.625 0.250
12 Ac 0.875 0.750 0.625
13 Pr 0.027 0.204 0.104
14 Pr 0.027 0.323 0.923
15 Pr 0.077 0.604 0.400
16 Pr 0.077 0.973 0.677
17 Pr 0.100 0.704 0.677
18 Pr 0.100 0.896 0.423
19 Pr 0.104 0.027 0.204
20 Pr 0.104 0.577 0.900
21 Pr 0.177 0.204 0.600
22 Pr 0.177 0.473 0.577
23 Pr 0.204 0.104 0.027
24 Pr 0.204 0.600 0.177
25 Pr 0.296 0.323 0.900
26 Pr 0.296 0.473 0.396
27 Pr 0.323 0.900 0.296
28 Pr 0.323 0.923 0.027
29 Pr 0.396 0.296 0.473
30 Pr 0.396 0.600 0.923
31 Pr 0.400 0.077 0.604
32 Pr 0.400 0.823 0.796
33 Pr 0.423 0.100 0.896
34 Pr 0.423 0.823 0.527
35 Pr 0.473 0.396 0.296
36 Pr 0.473 0.577 0.177
37 Pr 0.527 0.423 0.823
38 Pr 0.527 0.604 0.704
39 Pr 0.577 0.177 0.473
40 Pr 0.577 0.900 0.104
41 Pr 0.600 0.177 0.204
42 Pr 0.600 0.923 0.396
43 Pr 0.604 0.400 0.077
44 Pr 0.604 0.704 0.527
45 Pr 0.677 0.077 0.973
46 Pr 0.677 0.100 0.704
47 Pr 0.704 0.527 0.604
48 Pr 0.704 0.677 0.100
49 Pr 0.796 0.400 0.823
50 Pr 0.796 0.896 0.973
51 Pr 0.823 0.527 0.423
52 Pr 0.823 0.796 0.400
53 Pr 0.896 0.423 0.100
54 Pr 0.896 0.973 0.796
55 Pr 0.900 0.104 0.577
56 Pr 0.900 0.296 0.323
57 Pr 0.923 0.027 0.323
58 Pr 0.923 0.396 0.600
59 Pr 0.973 0.677 0.077
60 Pr 0.973 0.796 0.896
61 Ga 0.000 0.000 0.000
62 Ga 0.000 0.000 0.500
63 Ga 0.000 0.500 0.000
64 Ga 0.000 0.500 0.500
65 Ga 0.125 0.750 0.875
66 Ga 0.125 0.875 0.250
67 Ga 0.250 0.125 0.875
68 Ga 0.250 0.625 0.375
69 Ga 0.375 0.250 0.625
70 Ga 0.375 0.625 0.750
71 Ga 0.500 0.000 0.000
72 Ga 0.500 0.000 0.500
73 Ga 0.500 0.500 0.000
74 Ga 0.500 0.500 0.500
75 Ga 0.625 0.375 0.250
76 Ga 0.625 0.750 0.375
77 Ga 0.750 0.375 0.625
78 Ga 0.750 0.875 0.125
79 Ga 0.875 0.125 0.750
80 Ga 0.875 0.250 0.125

Values from the calculation:
The calculation puts the total energy at -314.44 eV/cell. For the density of states at the Fermi level, the calculation gives 113.44 states/eV/cell. For the total moment, the calculation gives 0.00 μB per formula unit.

=====

This record from Alexandria via LeMat-Bulk describes a relaxed structure of HgPb2. The functional is PBE.

abc: 5.249 5.249 8.116
angles: 90.00 90.00 120.00
Fractional coordinates of all 6 atoms:
1 Hg 0.000 0.000 0.250
2 Hg 0.000 0.000 0.750
3 Pb 0.333 0.667 0.053
4 Pb 0.333 0.667 0.447
5 Pb 0.667 0.333 0.553
6 Pb 0.667 0.333 0.947

Values from the calculation:
The calculation puts the energy above the lowest structure with this stoichiometry at 0.106 eV/atom. The calculation puts the total energy at -14.73 eV/cell. For the density of states at the Fermi level, the calculation gives 3.13 states/eV/cell. For the total moment, the calculation gives 0.00 μB per formula unit.